Compound: Th4ReTe2P
Source: Alexandria via LeMat-Bulk
Functional: PBE-GGA
Structure: optimized geometry

Values from the calculation:
Raw formation energy (eV per atom): -0.931
Magnetization (Bohr magnetons per cell): 0.00
Calculated volume (Å³ per atom): 29.4

Lattice parameters (Å, degrees): 7.4733 4.2064 7.8594 90.00 107.94 90.00
Space group P2/m (No. 10)
Inequivalent atoms, fractional coordinates:
Th: 0.2216 0.0000 0.2035
Th: 0.2593 0.5000 0.7936
Re: 0.0000 0.5000 0.0000
Te: 0.0000 0.0000 0.5000
Te: 0.5000 0.5000 0.5000
P: 0.5000 0.0000 0.0000

Compound: GeRh2Au
Source: Alexandria via LeMat-Bulk
Functional: PBE-GGA
Structure: optimized geometry

Values from the calculation:
ΔH_f (0 K) (eV/atom): -0.2597
Magnetization (Bohr magnetons per cell): 0.00
Calculated volume (Å³ per atom): 15.2

Lattice parameters (Å, degrees): 2.9768 2.9768 6.8740 90.00 90.00 90.00
Space group P4/mmm (No. 123)
Inequivalent atoms, fractional coordinates:
Ge: 0.0000 0.0000 0.0000
Rh: 0.5000 0.5000 0.2099
Au: 0.0000 0.0000 0.5000

Compound: K4Zr3PdSe8
Source: Alexandria via LeMat-Bulk
Functional: PBE-GGA
Structure: optimized geometry

Values from the calculation:
Raw formation energy (eV per atom): -1.171
Magnetization (Bohr magnetons per cell): 0.00
Calculated volume (Å³ per atom): 26.4

Lattice parameters (Å, degrees): 13.9582 7.9395 8.9200 90.00 121.37 90.00
Space group C2/m (No. 12)
Inequivalent atoms, fractional coordinates:
K: 0.0000 0.0000 0.0000
K: 0.0000 0.5000 0.0000
K: 0.2500 0.2500 0.0000
Zr: 0.0000 0.0000 0.5000
Zr: 0.2500 0.2500 0.5000
Pd: 0.0000 0.5000 0.5000
Se: 0.0195 0.2512 0.3080
Se: 0.2338 0.0000 0.7032
Se: 0.2380 0.5000 0.6980

Compound: La2NpCrS6
Source: Alexandria via LeMat-Bulk
Functional: PBE-GGA
Structure: optimized geometry

Values from the calculation:
Raw formation energy (eV per atom): -1.593
Magnetization (Bohr magnetons per cell): 14.00
Calculated volume (Å³ per atom): 23.1

Lattice parameters (Å, degrees): 6.5935 7.2427 11.5240 90.00 123.00 90.00
Space group P2_1/c (No. 14)
Inequivalent atoms, fractional coordinates:
La: 0.2101 0.0951 0.2465
Np: 0.5000 0.0000 0.0000
Cr: 0.0000 0.0000 0.5000
S: 0.1130 0.1968 0.9414
S: 0.2502 0.6807 0.9425
S: 0.3556 0.0314 0.7358

Compound: Sr2ScPbS
Source: Alexandria via LeMat-Bulk
Functional: PBE-GGA
Structure: optimized geometry

Values from the calculation:
Raw formation energy (eV per atom): 0.431
Magnetization (Bohr magnetons per cell): 0.00
Calculated volume (Å³ per atom): 44.0

Lattice parameters (Å, degrees): 6.3330 6.3330 5.4881 90.00 90.00 90.00
Space group P4/mmm (No. 123)
Inequivalent atoms, fractional coordinates:
Sr: 0.0000 0.5000 0.0000
Sc: 0.0000 0.0000 0.5000
Pb: 0.5000 0.5000 0.0000
S: 0.5000 0.5000 0.5000

Compound: ZrCd3P
Source: Alexandria via LeMat-Bulk
Functional: PBE-GGA
Structure: optimized geometry

Values from the calculation:
ΔH_f (0 K) (eV/atom): 0.6697
Magnetization (Bohr magnetons per cell): 0.00
Energy above the lowest structure with this stoichiometry (meV/atom): 0
Calculated volume (Å³ per atom): 24.8

Lattice parameters (Å, degrees): 4.9841 4.9841 4.9841 90.00 90.00 90.00
Space group Pm-3m (No. 221)
Inequivalent atoms, fractional coordinates:
Zr: 0.0000 0.0000 0.0000
Cd: 0.0000 0.5000 0.5000
P: 0.5000 0.5000 0.5000